Record 1
Material: Rb2Sb4S7
Method: DFT, PBEsol
State: optimized geometry

Calculated values
V ... 29.8 A^3/atom
Calculated density ... 3.79 g/cm3
Formation energy without anion corrections ... -53.66 kJ/mol of atoms

Cell lengths 7.548, 9.557, 11.352 Å; angles 82.03, 85.90, 72.70 degrees
Element x y z (fractional)
1 Rb 0.106 0.220 0.447
2 Rb 0.221 0.817 0.885
3 Rb 0.779 0.183 0.115
4 Rb 0.894 0.780 0.553
5 Sb 0.011 0.693 0.234
6 Sb 0.241 0.355 0.041
7 Sb 0.362 0.922 0.174
8 Sb 0.457 0.470 0.661
9 Sb 0.543 0.530 0.339
10 Sb 0.638 0.078 0.826
11 Sb 0.759 0.645 0.959
12 Sb 0.989 0.307 0.766
13 S 0.050 0.556 0.844
14 S 0.068 0.936 0.288
15 S 0.155 0.159 0.948
16 S 0.265 0.524 0.461
17 S 0.327 0.615 0.143
18 S 0.385 0.161 0.221
19 S 0.439 0.216 0.657
20 S 0.561 0.784 0.343
21 S 0.615 0.839 0.779
22 S 0.673 0.385 0.857
23 S 0.735 0.476 0.539
24 S 0.845 0.841 0.052
25 S 0.932 0.064 0.712
26 S 0.950 0.444 0.156

---

Record 2
Material: Rb2Sb4S7
Method: DFT, PBEsol
State: optimized geometry

Calculated values
V ... 27.6 A^3/atom
Calculated density ... 4.08 g/cm3
Formation energy without anion corrections ... -53.54 kJ/mol of atoms

Cell lengths 7.012, 12.318, 10.557 Å; angles 90.00, 128.05, 90.00 degrees
Element x y z (fractional)
1 Rb 0.154 0.062 0.355
2 Rb 0.154 0.438 0.855
3 Rb 0.846 0.562 0.145
4 Rb 0.846 0.938 0.645
5 Sb 0.330 0.155 0.050
6 Sb 0.330 0.345 0.550
7 Sb 0.399 0.639 0.644
8 Sb 0.399 0.861 0.144
9 Sb 0.601 0.139 0.856
10 Sb 0.601 0.361 0.356
11 Sb 0.670 0.655 0.450
12 Sb 0.670 0.845 0.950
13 S 0.000 0.000 0.000
14 S 0.000 0.500 0.500
15 S 0.177 0.231 0.657
16 S 0.177 0.269 0.157
17 S 0.312 0.703 0.822
18 S 0.312 0.797 0.322
19 S 0.379 0.533 0.222
20 S 0.379 0.967 0.722
21 S 0.621 0.033 0.278
22 S 0.621 0.467 0.778
23 S 0.688 0.203 0.678
24 S 0.688 0.297 0.178
25 S 0.823 0.731 0.843
26 S 0.823 0.769 0.343